! BeOs PBE-GGA relaxed; values from VASP
! - theoretical density (Mg/m³) = 13.4
! - M_tot (μB/atom) = 0.000
! - volume (Å³/cell) = 147.62
! - energy of formation (eV per atom) = 0.290
&SYSTEM
  ibrav = 0, nat = 12, ntyp = 2
/
ATOMIC_SPECIES
Be 9.01 Be.upf
Os 190.23 Os.upf
CELL_PARAMETERS angstrom
-3.221 -5.615 -0.010
2.489 2.293 5.518
-3.470 1.990 0.739
ATOMIC_POSITIONS crystal
Be 0.227 0.191 0.250
Be 0.964 0.773 0.250
Be 0.773 0.809 0.750
Be 0.191 0.964 0.750
Be 0.036 0.227 0.750
Be 0.809 0.036 0.250
Os 0.554 0.638 0.250
Os 0.446 0.362 0.750
Os 0.362 0.917 0.250
Os 0.638 0.083 0.750
Os 0.917 0.554 0.750
Os 0.083 0.446 0.250